# 1
Here is a geometry-optimized NbVZnRu structure from Alexandria via LeMat-Bulk. Energies are from PBE.

Results
- DFT total energy: -7.533 eV/atom
- Size of the total moment: 2.04 μB/cell
- V: 60.3 Å³/f.u.
- SG: F-43m

a b c (Å): 4.401 4.401 4.401
angles (deg): 60.00 60.00 60.00
Atoms (fractional coordinates):
Nb 0.000 0.000 0.000
V 0.750 0.750 0.750
Zn 0.500 0.500 0.500
Ru 0.250 0.250 0.250

***

# 2
Here is a geometry-optimized NiMoSe2 structure from Alexandria via LeMat-Bulk. Energies are from PBE.

Results
- Size of the total moment: 1.87 μB/cell
- Excess energy over the best structure of this formula in the dataset: 480 meV per atom
- V: 62.4 Å³/f.u.
- Formation energy without anion corrections: 169 meV per atom
- SG: Fm-3m

a b c (Å): 4.453 4.453 4.453
angles (deg): 60.00 60.00 60.00
Atoms (fractional coordinates):
Ni 0.000 0.000 0.000
Mo 0.500 0.500 0.500
Se 0.250 0.250 0.250
Se 0.750 0.750 0.750

***

# 3
Here is a geometry-optimized Cs2MnCd structure from Alexandria via LeMat-Bulk. Energies are from PBE.

Results
- Size of the total moment: 3.74 μB/cell
- Excess energy over the best structure of this formula in the dataset: 101 meV per atom
- V: 199.5 Å³/f.u.
- SG: Fm-3m

a b c (Å): 6.559 6.559 6.559
angles (deg): 60.00 60.00 60.00
Atoms (fractional coordinates):
Cs 0.250 0.250 0.250
Cs 0.750 0.750 0.750
Mn 0.000 0.000 0.000
Cd 0.500 0.500 0.500

***

# 4
Here is a geometry-optimized NpTeP structure from Alexandria via LeMat-Bulk. Energies are from PBE.

Results
- Size of the total moment: 7.39 μB/cell
- V: 71.0 Å³/f.u.
- Formation energy without anion corrections: -627 meV per atom
- SG: P2_1/m

a b c (Å): 4.215 3.951 8.550
angles (deg): 90.00 94.30 90.00
Atoms (fractional coordinates):
Np 0.205 0.250 0.229
Np 0.795 0.750 0.771
Te 0.267 0.250 0.629
Te 0.733 0.750 0.371
P 0.346 0.750 0.991
P 0.654 0.250 0.009

***

# 5
Here is a geometry-optimized AsPb2 structure from Alexandria via LeMat-Bulk. Energies are from PBE.

Results
- Size of the total moment: 0.00 μB/cell
- Excess energy over the best structure of this formula in the dataset: 80 meV per atom
- V: 82.9 Å³/f.u.
- SG: P6_3/mmc

a b c (Å): 5.382 5.382 6.612
angles (deg): 90.00 90.00 120.00
Atoms (fractional coordinates):
As 0.333 0.667 0.250
As 0.667 0.333 0.750
Pb 0.000 0.000 0.000
Pb 0.000 0.000 0.500
Pb 0.333 0.667 0.750
Pb 0.667 0.333 0.250

***

# 6
Here is a geometry-optimized Mg2TlTcPb structure from Alexandria via LeMat-Bulk. Energies are from PBE.

Results
- DFT total energy: -2.687 eV/atom
- Size of the total moment: 3.79 μB/cell
- V: 160.2 Å³/f.u.
- SG: P4/mmm

a b c (Å): 5.171 5.171 5.990
angles (deg): 90.00 90.00 90.00
Atoms (fractional coordinates):
Mg 0.000 0.500 0.000
Mg 0.500 0.000 0.000
Tl 0.000 0.000 0.000
Tc 0.500 0.500 0.500
Pb 0.000 0.000 0.500

***

Q: Which value of V does entry 1 give?
A: 60.3 Å³/f.u.